Computed, not measured: U6Rh after structural relaxation at the GGA-PBE level of DFT.

It has space group Im-3m (No. 229), with a = 7.071 Å, b = 7.071 Å, c = 7.071 Å, α = 90.00°, β = 90.00° and γ = 90.00°. The distinct sites, in fractional coordinates, are U at (0.000, 0.250, 0.500) and Rh at (0.000, 0.000, 0.000).

For the formation energy, the calculation gives 1.324 eV per atom.

***

Computed, not measured: BaGe2Pd after structural relaxation at the GGA-PBE level of DFT.

It has space group I4_1/amd (No. 141, origin choice 2), with a = 5.120 Å, b = 5.120 Å, c = 17.203 Å, α = 90.00°, β = 90.00° and γ = 90.00°. The distinct sites, in fractional coordinates, are Ba at (0.000, 0.250, 0.375), Ge at (0.000, 0.000, 0.000) and Pd at (0.000, 0.250, 0.875).

For the formation energy, the calculation gives -0.466 eV per atom.

***

Computed, not measured: TcP2Se after structural relaxation at the GGA-PBE level of DFT.

It has space group R-3m (No. 166, hexagonal axes), with a = 3.0711 Å, b = 3.0711 Å, c = 23.8118 Å, α = 90.00°, β = 90.00° and γ = 120.00°. The distinct sites, in fractional coordinates, are Tc at (0.0000, 0.0000, 0.0000), P at (0.0000, 0.0000, 0.2635) and Se at (0.0000, 0.0000, 0.5000).

The value obtained for the uncorrected formation energy is 0.038 eV per atom.

***

Computed, not measured: Sm2ThHg after structural relaxation at the GGA-PBE level of DFT.

It has space group P4/mmm (No. 123), with a = 4.906 Å, b = 4.906 Å, c = 4.881 Å, α = 90.00°, β = 90.00° and γ = 90.00°. The distinct sites, in fractional coordinates, are Sm at (0.000, 0.500, 0.000), Th at (0.000, 0.000, 0.500) and Hg at (0.500, 0.500, 0.500).

The energy above the most stable polymorph in this dataset is 145 meV per atom. For the formation energy, the calculation gives -0.099 eV per atom.

***

Computed, not measured: CdIr2Ru after structural relaxation at the GGA-PBE level of DFT.

It has space group Cm (No. 8), with a = 9.234 Å, b = 2.792 Å, c = 4.920 Å, α = 90.00°, β = 99.77° and γ = 90.00°. The distinct sites, in fractional coordinates, are Cd at (0.000, 0.000, 0.000), Ir at (0.240, 0.000, 0.733), Ir at (0.499, 0.000, 0.496) and Ru at (0.261, 0.500, 0.281).

For the formation energy, the calculation gives 0.215 eV per atom.

***

Computed, not measured: Ga2AgTe after structural relaxation at the GGA-PBE level of DFT.

It has space group R3m (No. 160, hexagonal axes), with a = 4.0293 Å, b = 4.0293 Å, c = 20.3752 Å, α = 90.00°, β = 90.00° and γ = 120.00°. The distinct sites, in fractional coordinates, are Ga at (0.0000, 0.0000, 0.0000), Ga at (0.0000, 0.0000, 0.1826), Ag at (0.0000, 0.0000, 0.5940) and Te at (0.0000, 0.0000, 0.4285).

The value obtained for the uncorrected formation energy is 0.007 eV per atom.

***

Computed, not measured: CsScBe3 after structural relaxation at the GGA-PBE level of DFT.

It has space group Pm-3m (No. 221), with a = 4.978 Å, b = 4.978 Å, c = 4.978 Å, α = 90.00°, β = 90.00° and γ = 90.00°. The distinct sites, in fractional coordinates, are Cs at (0.000, 0.000, 0.000), Sc at (0.500, 0.500, 0.500) and Be at (0.000, 0.000, 0.500).

The energy above the most stable polymorph in this dataset is 784 meV per atom. For the formation energy, the calculation gives 2.226 eV per atom.

***

Computed, not measured: Sm12Pb3C5 after structural relaxation at the GGA-PBE level of DFT.

It has space group Ia-3d (No. 230), with a = 16.363 Å, b = 16.363 Å, c = 16.363 Å, α = 90.00°, β = 90.00° and γ = 90.00°. The distinct sites, in fractional coordinates, are Sm at (0.035, 0.052, 0.648), Pb at (0.000, 0.250, 0.125), C at (0.000, 0.000, 0.000) and C at (0.000, 0.250, 0.375).

For the formation energy, the calculation gives -0.163 eV per atom.

***

Computed, not measured: YPb2Se after structural relaxation at the GGA-PBE level of DFT.

It has space group Immm (No. 71), with a = 3.590 Å, b = 4.363 Å, c = 15.667 Å, α = 90.00°, β = 90.00° and γ = 90.00°. The distinct sites, in fractional coordinates, are Y at (0.000, 0.000, 0.000), Pb at (0.000, 0.500, 0.306) and Se at (0.000, 0.000, 0.500).

The value obtained for the uncorrected formation energy is -0.679 eV per atom.

***

Computed, not measured: SmGdTeI after structural relaxation at the GGA-PBE level of DFT.

It has space group F-43m (No. 216), with a = 7.659 Å, b = 7.659 Å, c = 7.659 Å, α = 90.00°, β = 90.00° and γ = 90.00°. The distinct sites, in fractional coordinates, are Sm at (0.000, 0.000, 0.000), Gd at (0.000, 0.000, 0.500), Te at (0.250, 0.250, 0.750) and I at (0.250, 0.250, 0.250).

The value obtained for the uncorrected formation energy is -1.043 eV per atom.

***

Computed, not measured: Nd2GaAu after structural relaxation at the GGA-PBE level of DFT.

It has space group R-3m (No. 166, hexagonal axes), with a = 3.9595 Å, b = 3.9595 Å, c = 25.0923 Å, α = 90.00°, β = 90.00° and γ = 120.00°. The distinct sites, in fractional coordinates, are Nd at (0.0000, 0.0000, 0.2493), Ga at (0.0000, 0.0000, 0.0000) and Au at (0.0000, 0.0000, 0.5000).

For the formation energy, the calculation gives -0.472 eV per atom.

***

Computed, not measured: Ta2AlHg after structural relaxation at the GGA-PBE level of DFT.

It has space group I4/mmm (No. 139), with a = 4.017 Å, b = 4.017 Å, c = 8.854 Å, α = 90.00°, β = 90.00° and γ = 90.00°. The distinct sites, in fractional coordinates, are Ta at (0.000, 0.500, 0.250), Al at (0.000, 0.000, 0.000) and Hg at (0.000, 0.000, 0.500).

The energy above the most stable polymorph in this dataset is 17 meV per atom. For the formation energy, the calculation gives 0.078 eV per atom.

***

Looking at total energy for the records above, in order, we have -131.626, -72.864, -73.555, -17.556, -54.107, -36.057, -7.235, -937.083, -40.166, -110.660, -53.185, -54.873 eV per cell.